This record from the Alexandria database describes crystalline Tb3PrDy6Y2 at its relaxed geometry. The functional is PBE.

## Properties
Its density of states at the Fermi level is 1.29 states/eV/atom. As for the symmetry: C2/m. As for the total energy: -4.92 eV per atom. Its magnetization is 0.00 μB per formula unit.

Lattice parameters (Å, degrees): 6.1726 6.1726 11.8253 94.95 94.95 119.94
Element x y z (fractional)
Tb1 0.0000 0.0000 0.0000
Tb2 0.3329 0.6671 0.0000
Tb3 0.6671 0.3329 0.0000
Pr1 0.5000 0.5000 0.5000
Dy1 0.0822 0.4156 0.2481
Dy2 0.2507 0.2507 0.7518
Dy3 0.4156 0.0822 0.2481
Dy4 0.5844 0.9178 0.7519
Dy5 0.7493 0.7493 0.2482
Dy6 0.9178 0.5844 0.7519
Y1 0.1667 0.8333 0.5000
Y2 0.8333 0.1667 0.5000